## V3CdO (PBE+U)

Data for a geometry-optimized V3CdO structure.

Lattice parameters (Å, degrees): 5.1788 5.1788 5.1788 90.00 90.00 90.00
Last column: nearest neighbours and their distance in Å.
Sites, in units of the cell vectors:
V (0.0000, 0.0000, 0.5000)  2 Cd 2.59
V (0.0000, 0.5000, 0.0000)  2 Cd 2.59
V (0.5000, 0.0000, 0.0000)  2 Cd 2.59
Cd (0.0000, 0.0000, 0.0000)  6 V 2.59
O (0.5000, 0.5000, 0.5000)  12 V 3.66

## Properties
Its energy above the most stable polymorph in this dataset is 1984 meV/atom. Its symmetry is Pm-3m, No. 221. Its total energy is -17.95 eV per cell.


## VCd2O2 (PBE+U)

Data for a geometry-optimized VCd2O2 structure.

Lattice parameters (Å, degrees): 6.0129 6.0129 6.0129 140.12 140.12 57.68
Last column: nearest neighbours and their distance in Å.
Sites, in units of the cell vectors:
V (0.0000, 0.0000, 0.0000)  8 O 3.27, 8 Cd 3.34
Cd (0.2500, 0.7500, 0.5000)  4 O 2.34
Cd (0.7500, 0.2500, 0.5000)  4 O 2.34
O (0.3562, 0.3562, 0.0000)  4 Cd 2.34
O (0.6438, 0.6438, 0.0000)  4 Cd 2.34

## Properties
Its energy above the most stable polymorph in this dataset is 868 meV/atom. Its symmetry is I4/mmm, No. 139. Its total energy is -18.91 eV per cell.


## VCd2WO6 (PBE+U)

Data for a geometry-optimized VCd2WO6 structure.

Lattice parameters (Å, degrees): 5.4884 5.5513 9.6018 90.00 124.80 90.00
Last column: nearest neighbours and their distance in Å.
Sites, in units of the cell vectors:
V (0.0000, 0.0000, 0.0000)  6 O 2.02-2.11
V (0.0000, 0.5000, 0.5000)  6 O 2.02-2.11
Cd (0.2419, 0.0398, 0.7493)  4 O 2.26-2.42
Cd (0.2419, 0.4602, 0.2493)  4 O 2.26-2.42
Cd (0.7581, 0.5399, 0.7507)  4 O 2.26-2.42
Cd (0.7581, 0.9602, 0.2507)  4 O 2.26-2.42
W (0.5000, 0.0000, 0.5000)  6 O 1.95-2.06
W (0.5000, 0.5000, 0.0000)  6 O 1.95-2.06
O (0.1423, 0.2030, 0.4445)  1 V 2.02, 1 W 2.05
O (0.1423, 0.2970, 0.9445)  1 V 2.02, 1 W 2.05
O (0.2621, 0.7098, 0.4494)  1 W 1.95, 1 V 2.11
O (0.2621, 0.7902, 0.9494)  1 W 1.95, 1 V 2.11
O (0.3525, 0.0386, 0.2500)  1 W 2.06, 1 V 2.06, 1 Cd 2.26
O (0.3525, 0.4614, 0.7500)  1 W 2.06, 1 V 2.06, 1 Cd 2.26
O (0.6475, 0.5386, 0.2500)  1 W 2.06, 1 V 2.06, 1 Cd 2.26
O (0.6475, 0.9614, 0.7500)  1 W 2.06, 1 V 2.06, 1 Cd 2.26
O (0.7379, 0.2098, 0.0506)  1 W 1.95, 1 V 2.11
O (0.7379, 0.2902, 0.5506)  1 W 1.95, 1 V 2.11
O (0.8577, 0.7030, 0.0555)  1 V 2.02, 1 W 2.05
O (0.8577, 0.7970, 0.5555)  1 V 2.02, 1 W 2.05

## Properties
Its symmetry is P2_1/c, No. 14. Its total energy is -125.50 eV per cell.


## VCdWO6 (PBE+U)

Data for a geometry-optimized VCdWO6 structure.

Lattice parameters (Å, degrees): 4.8043 4.8043 9.4376 90.00 90.00 90.00
Last column: nearest neighbours and their distance in Å.
Sites, in units of the cell vectors:
V (0.0000, 0.0000, 0.0000)  6 O 1.91-2.05
V (0.5000, 0.5000, 0.5000)  6 O 1.91-2.05
Cd (0.0000, 0.0000, 0.6665)  6 O 2.20-2.39
Cd (0.5000, 0.5000, 0.1665)  6 O 2.20-2.39
W (0.0000, 0.0000, 0.3317)  6 O 1.91-2.00
W (0.5000, 0.5000, 0.8317)  6 O 1.91-2.00
O (0.1757, 0.1757, 0.1658)  1 V 1.97, 1 W 1.97, 1 Cd 2.20
O (0.2198, 0.2198, 0.8519)  1 W 1.91, 1 V 2.05
O (0.2217, 0.2217, 0.4704)  1 V 1.91, 1 W 2.00
O (0.2783, 0.7217, 0.9704)  1 V 1.91, 1 W 2.00
O (0.2802, 0.7198, 0.3519)  1 W 1.91, 1 V 2.05
O (0.3243, 0.6757, 0.6658)  1 V 1.97, 1 W 1.97, 1 Cd 2.20
O (0.6757, 0.3243, 0.6658)  1 V 1.97, 1 W 1.97, 1 Cd 2.20
O (0.7198, 0.2802, 0.3519)  1 W 1.91, 1 V 2.05
O (0.7217, 0.2783, 0.9704)  1 V 1.91, 1 W 2.00
O (0.7783, 0.7783, 0.4704)  1 V 1.91, 1 W 2.00
O (0.7802, 0.7802, 0.8519)  1 W 1.91, 1 V 2.05
O (0.8243, 0.8243, 0.1658)  1 V 1.97, 1 W 1.97, 1 Cd 2.20

## Properties
Its symmetry is P4_2nm, No. 102. Its total energy is -122.40 eV per cell.


The records above give, respectively, calculated volume values of 138.9; 88.6; 240.2; 217.8 Å³/cell.